Entry from OQMD: an optimized crystal structure of RbPrS4 (PBE-GGA).

abc: 6.1138 6.1138 8.3912
angles: 90.00 90.00 90.00
Last column: nearest neighbours and their distance in Å.
Element x y z (fractional)
Rb  0.2500  0.2500  0.0000  8 S 3.48
Rb  0.7500  0.7500  0.0000  8 S 3.48
Pr  0.2500  0.2500  0.5000  8 S 2.97
Pr  0.7500  0.7500  0.5000  8 S 2.97
S  0.1281  0.6281  0.2966  1 S 2.11
S  0.1281  0.8719  0.7034  1 S 2.11
S  0.3719  0.6281  0.7034  1 S 2.11
S  0.3719  0.8719  0.2966  1 S 2.11
S  0.6281  0.1281  0.7034  1 S 2.11
S  0.6281  0.3719  0.2966  1 S 2.11
S  0.8719  0.1281  0.2966  1 S 2.11
S  0.8719  0.3719  0.7034  1 S 2.11

The density is 3755 kg/m3. Its crystal system is tetragonal. Its space-group type is P4/nbm. The value obtained for the total DFT energy (no corrections) is -4.91 eV per atom.

=====

Entry from OQMD: an optimized crystal structure of DyEr2P3 (PBE-GGA).

abc: 3.9803 3.9803 9.7402
angles: 90.00 90.00 120.00
Last column: nearest neighbours and their distance in Å.
Element x y z (fractional)
Dy  0.0000  0.0000  0.0000  6 P 2.82
Er  0.3333  0.6667  0.3342  6 P 2.81
Er  0.6667  0.3333  0.6658  6 P 2.81
P  0.0000  0.0000  0.5000  6 Er 2.81
P  0.3333  0.6667  0.8314  3 Er 2.81, 3 Dy 2.82
P  0.6667  0.3333  0.1686  3 Er 2.81, 3 Dy 2.82

The density is 7330 kg/m3. Its crystal system is trigonal. Its space-group type is P-3m1. The value obtained for the total DFT energy (no corrections) is -6.61 eV per atom.

=====

Entry from OQMD: an optimized crystal structure of SmLuAs (PBE-GGA).

abc: 4.8204 4.8204 4.8204
angles: 60.00 60.00 60.00
Last column: nearest neighbours and their distance in Å.
Element x y z (fractional)
Sm  0.0000  0.0000  0.0000  4 As 2.95
Lu  0.5000  0.5000  0.5000  4 As 2.95
As  0.7500  0.7500  0.7500  4 Lu 2.95, 4 Sm 2.95

The density is 8392 kg/m3. Its crystal system is cubic. Its space-group type is F-43m. The value obtained for the total DFT energy (no corrections) is -5.33 eV per atom.

=====

Entry from OQMD: an optimized crystal structure of HfAgHg (PBE-GGA).

abc: 4.5658 4.5658 4.5658
angles: 60.00 60.00 60.00
Last column: nearest neighbours and their distance in Å.
Element x y z (fractional)
Hf  0.0000  0.0000  0.0000  4 Ag 2.80
Ag  0.2500  0.2500  0.2500  4 Hf 2.80, 4 Hg 2.80
Hg  0.5000  0.5000  0.5000  4 Ag 2.80

The density is 12014 kg/m3. Its crystal system is cubic. Its space-group type is F-43m. As for the formation energy: 27 kJ/mol of atoms.

=====

Entry from OQMD: an optimized crystal structure of GdDy2In3Pt2Au (PBE-GGA).

abc: 3.8208 7.7979 7.7979
angles: 120.08 90.00 90.00
Last column: nearest neighbours and their distance in Å.
Element x y z (fractional)
Gd  0.0000  0.0000  0.0000  4 Pt 3.05, 6 In 3.16-3.39, 1 Au 3.18
Dy  0.0000  0.1841  0.5921  4 Pt 3.03, 6 In 3.16-3.39, 1 Au 3.18
Dy  0.0000  0.5921  0.1841  4 Pt 3.03, 6 In 3.16-3.39, 1 Au 3.18
In  0.5000  0.3239  0.3239  2 Au 2.83, 2 Pt 2.89, 2 Gd 3.16
In  0.5000  0.5915  0.8607  2 Au 2.84, 2 Pt 2.87-2.89, 2 Dy 3.16
In  0.5000  0.8607  0.5915  2 Au 2.84, 2 Pt 2.87-2.89, 2 Dy 3.16
Pt  0.5000  0.2601  0.9250  3 In 2.87-2.89, 4 Dy 3.03, 2 Gd 3.05
Pt  0.5000  0.9250  0.2601  3 In 2.87-2.89, 4 Dy 3.03, 2 Gd 3.05
Au  0.0000  0.5917  0.5917  6 In 2.83-2.84

The density is 11678 kg/m3. Its crystal system is orthorhombic. Its space-group type is Amm2. The value obtained for the total DFT energy (no corrections) is -5.08 eV per atom.

=====

Entry from OQMD: an optimized crystal structure of TmGaNO (PBE-GGA).

abc: 6.4782 7.2617 4.9022
angles: 90.00 90.00 90.00
Last column: nearest neighbours and their distance in Å.
Element x y z (fractional)
Tm  0.0738  0.1461  0.0000  1 O 2.17, 3 N 2.22-2.33
Tm  0.4262  0.1461  0.5000  1 O 2.17, 3 N 2.22-2.33
Tm  0.5738  0.8539  0.0000  1 O 2.17, 3 N 2.22-2.33
Tm  0.9262  0.8539  0.5000  1 O 2.17, 3 N 2.22-2.33
Ga  0.0985  0.6483  0.9865  2 O 1.89-1.97, 1 N 2.00
Ga  0.4015  0.6483  0.4865  2 O 1.89-1.97, 1 N 2.00
Ga  0.5985  0.3517  0.9865  2 O 1.89-1.97, 1 N 2.00
Ga  0.9015  0.3517  0.4865  2 O 1.89-1.97, 1 N 2.00
N  0.0849  0.1317  0.5262  1 Ga 2.00, 1 Tm 2.22
N  0.4151  0.1317  0.0262  1 Ga 2.00, 1 Tm 2.22
N  0.5849  0.8683  0.5262  1 Ga 2.00, 1 Tm 2.22
N  0.9151  0.8683  0.0262  1 Ga 2.00, 1 Tm 2.22
O  0.0143  0.5761  0.6160  2 Ga 1.89-1.97
O  0.4857  0.5761  0.1160  2 Ga 1.89-1.97
O  0.5143  0.4239  0.6160  2 Ga 1.89-1.97
O  0.9857  0.4239  0.1160  2 Ga 1.89-1.97

The density is 7738 kg/m3. Its crystal system is orthorhombic. Its space-group type is Pca2_1. The value obtained for the total DFT energy (no corrections) is -6.63 eV per atom.

=====

Entry from OQMD: an optimized crystal structure of LiCuSnW (PBE-GGA).

abc: 4.4909 4.4909 4.4909
angles: 60.00 60.00 60.00
Last column: nearest neighbours and their distance in Å.
Element x y z (fractional)
Li  0.0000  0.0000  0.0000  4 W 2.75, 4 Cu 2.75
Cu  0.7500  0.7500  0.7500  4 Sn 2.75, 4 Li 2.75
Sn  0.5000  0.5000  0.5000  4 W 2.75, 4 Cu 2.75
W  0.2500  0.2500  0.2500  4 Sn 2.75, 4 Li 2.75

The density is 9672 kg/m3. Its crystal system is cubic. Its space-group type is F-43m. The value obtained for the total DFT energy (no corrections) is -5.07 eV per atom.

=====

Entry from OQMD: an optimized crystal structure of PrYB2Ir2N2 (PBE-GGA).

abc: 3.7873 3.7873 7.5431
angles: 90.00 90.00 90.00
Last column: nearest neighbours and their distance in Å.
Element x y z (fractional)
Pr  0.0000  0.0000  0.0000  5 N 2.40-2.68
Y  0.5000  0.5000  0.6707  1 N 2.34
B  0.0000  0.0000  0.4852  1 N 1.49
B  0.5000  0.5000  0.1804  1 N 1.51
Ir  0.0000  0.5000  0.3366  4 B 2.20-2.23
Ir  0.5000  0.0000  0.3366  4 B 2.20-2.23
N  0.0000  0.0000  0.6823  1 B 1.49
N  0.5000  0.5000  0.9805  1 B 1.51

The density is 10189 kg/m3. Its crystal system is tetragonal. Its space-group type is P4mm. The value obtained for the total DFT energy (no corrections) is -8.47 eV per atom.

=====

Entry from OQMD: an optimized crystal structure of Zn12Au31 (PBE-GGA).

abc: 7.7425 7.7425 14.2899
angles: 90.00 90.00 120.00
Last column: nearest neighbours and their distance in Å.
Element x y z (fractional)
Zn  0.0000  0.0000  0.2022  8 Au 2.67-2.89
Zn  0.0000  0.0000  0.7978  8 Au 2.67-2.89
Zn  0.0000  0.3543  0.0000  9 Au 2.70-2.82
Zn  0.0000  0.6778  0.5000  10 Au 2.68-2.86
Zn  0.3222  0.3222  0.5000  10 Au 2.68-2.86
Zn  0.3333  0.6667  0.2800  10 Au 2.66-2.96
Zn  0.3333  0.6667  0.7850  10 Au 2.71-2.96
Zn  0.3543  0.0000  0.0000  9 Au 2.70-2.82
Zn  0.6457  0.6457  0.0000  9 Au 2.70-2.82
Zn  0.6667  0.3333  0.2150  10 Au 2.71-2.96
Zn  0.6667  0.3333  0.7200  10 Au 2.66-2.96
Zn  0.6778  0.0000  0.5000  10 Au 2.68-2.86
Au  0.0000  0.0000  0.0000  5 Zn 2.74-2.89, 6 Au 2.93
Au  0.0000  0.0000  0.4018  7 Au 2.81-2.90, 4 Zn 2.85-2.86
Au  0.0000  0.0000  0.5982  7 Au 2.81-2.90, 4 Zn 2.85-2.86
Au  0.0271  0.3576  0.1968  4 Zn 2.66-2.82, 4 Au 2.85-2.97
Au  0.0326  0.6974  0.6990  4 Zn 2.75-2.85, 8 Au 2.87-3.03
Au  0.0556  0.6959  0.9044  4 Zn 2.70-3.01, 6 Au 2.83-2.95
Au  0.0718  0.4047  0.4063  3 Zn 2.68-2.78, 5 Au 2.84-2.94
Au  0.3026  0.3352  0.6990  4 Zn 2.75-2.85, 8 Au 2.87-3.03
Au  0.3041  0.3596  0.9044  4 Zn 2.70-3.01, 6 Au 2.83-2.95
Au  0.3305  0.9729  0.1968  4 Zn 2.66-2.82, 4 Au 2.85-2.97
Au  0.3333  0.6667  0.0731  4 Zn 2.71-2.96, 6 Au 2.93-2.97
Au  0.3333  0.6667  0.5779  4 Zn 2.85-2.96, 9 Au 2.91-3.18
Au  0.3329  0.9282  0.4063  3 Zn 2.68-2.78, 5 Au 2.84-2.94
Au  0.3352  0.3026  0.3010  4 Zn 2.75-2.85, 8 Au 2.87-3.03
Au  0.3576  0.0271  0.8032  4 Zn 2.66-2.82, 4 Au 2.85-2.97
Au  0.3596  0.3041  0.0956  4 Zn 2.70-3.01, 6 Au 2.83-2.95
Au  0.4047  0.0718  0.5937  3 Zn 2.68-2.78, 5 Au 2.84-2.94
Au  0.5953  0.6671  0.4063  3 Zn 2.68-2.78, 5 Au 2.84-2.94
Au  0.6404  0.9444  0.9044  4 Zn 2.70-3.01, 6 Au 2.83-2.95
Au  0.6424  0.6695  0.1968  4 Zn 2.66-2.82, 4 Au 2.85-2.97
Au  0.6648  0.9674  0.6990  4 Zn 2.75-2.85, 8 Au 2.87-3.03
Au  0.6667  0.3333  0.4221  4 Zn 2.85-2.96, 9 Au 2.91-3.18
Au  0.6667  0.3333  0.9269  4 Zn 2.71-2.96, 6 Au 2.93-2.97
Au  0.6671  0.5953  0.5937  3 Zn 2.68-2.78, 5 Au 2.84-2.94
Au  0.6695  0.6424  0.8032  4 Zn 2.66-2.82, 4 Au 2.85-2.97
Au  0.6959  0.0556  0.0956  4 Zn 2.70-3.01, 6 Au 2.83-2.95
Au  0.6974  0.0326  0.3010  4 Zn 2.75-2.85, 8 Au 2.87-3.03
Au  0.9282  0.3329  0.5937  3 Zn 2.68-2.78, 5 Au 2.84-2.94
Au  0.9444  0.6404  0.0956  4 Zn 2.70-3.01, 6 Au 2.83-2.95
Au  0.9674  0.6648  0.3010  4 Zn 2.75-2.85, 8 Au 2.87-3.03
Au  0.9729  0.3305  0.8032  4 Zn 2.66-2.82, 4 Au 2.85-2.97

The density is 15424 kg/m3. Its crystal system is trigonal. Its space-group type is P321. As for the formation energy: -14 kJ/mol of atoms.

=====

Entry from OQMD: an optimized crystal structure of PrSmBe2Ge2 (PBE-GGA).

abc: 3.9915 3.9915 8.4882
angles: 90.00 90.00 120.00
Last column: nearest neighbours and their distance in Å.
Element x y z (fractional)
Pr  0.0000  0.0000  0.0000  6 Be 3.15, 6 Ge 3.16
Sm  0.0000  0.0000  0.5000  6 Ge 3.11, 6 Be 3.12
Be  0.3333  0.6667  0.7472  3 Ge 2.30
Be  0.6667  0.3333  0.2528  3 Ge 2.30
Ge  0.3333  0.6667  0.2547  3 Be 2.30
Ge  0.6667  0.3333  0.7453  3 Be 2.30

The density is 6445 kg/m3. Its crystal system is trigonal. Its space-group type is P-3m1. The value obtained for the total DFT energy (no corrections) is -5.01 eV per atom.

=====

Entry from OQMD: an optimized crystal structure of SmZr2 (PBE-GGA).

abc: 5.3357 10.0419 5.8385
angles: 90.00 90.00 90.00
Last column: nearest neighbours and their distance in Å.
Element x y z (fractional)
Sm  0.2500  0.0858  0.0911  9 Zr 3.30-3.55, 3 Sm 3.30-3.35
Sm  0.2500  0.4142  0.0911  9 Zr 3.30-3.55, 3 Sm 3.30-3.35
Sm  0.7500  0.5858  0.9089  9 Zr 3.30-3.55, 3 Sm 3.30-3.35
Sm  0.7500  0.9142  0.9089  9 Zr 3.30-3.55, 3 Sm 3.30-3.35
Zr  0.2500  0.2500  0.5920  8 Zr 3.21-3.44, 4 Sm 3.35-3.36
Zr  0.2500  0.5923  0.5652  8 Zr 3.14-3.50, 3 Sm 3.30-3.34
Zr  0.2500  0.7500  0.1007  6 Zr 3.14-3.50, 6 Sm 3.33-3.37
Zr  0.2500  0.9077  0.5652  8 Zr 3.14-3.50, 3 Sm 3.30-3.34
Zr  0.7500  0.0923  0.4348  8 Zr 3.14-3.50, 3 Sm 3.30-3.34
Zr  0.7500  0.2500  0.8993  6 Zr 3.14-3.50, 6 Sm 3.33-3.37
Zr  0.7500  0.4077  0.4348  8 Zr 3.14-3.50, 3 Sm 3.30-3.34
Zr  0.7500  0.7500  0.4080  8 Zr 3.21-3.44, 4 Sm 3.35-3.36

The density is 7066 kg/m3. Its crystal system is orthorhombic. Its space-group type is Pmmn. As for the formation energy: 11 kJ/mol of atoms.

=====

Entry from OQMD: an optimized crystal structure of Gd2Dy4Ga (PBE-GGA).

abc: 7.8878 7.8878 7.8878
angles: 95.87 95.87 142.69
Last column: nearest neighbours and their distance in Å.
Element x y z (fractional)
Gd  0.2500  0.7500  0.5000  2 Gd 2.52
Gd  0.7500  0.2500  0.5000  2 Gd 2.52
Dy  0.0000  0.2147  0.2147  2 Dy 3.21, 2 Gd 3.27, 2 Ga 3.39
Dy  0.0000  0.7853  0.7853  2 Dy 3.21, 2 Gd 3.27, 2 Ga 3.39
Dy  0.2147  0.0000  0.2147  2 Dy 3.21, 2 Gd 3.27, 2 Ga 3.39
Dy  0.7853  0.0000  0.7853  2 Dy 3.21, 2 Gd 3.27, 2 Ga 3.39
Ga  0.5000  0.5000  0.0000  8 Dy 3.39

The density is 6094 kg/m3. Its crystal system is tetragonal. Its space-group type is I4/mmm. The value obtained for the total DFT energy (no corrections) is -3.20 eV per atom.

=====

Copy entry 1 word for word.
Entry from OQMD: an optimized crystal structure of RbPrS4 (PBE-GGA).

abc: 6.1138 6.1138 8.3912
angles: 90.00 90.00 90.00
Last column: nearest neighbours and their distance in Å.
Element x y z (fractional)
Rb  0.2500  0.2500  0.0000  8 S 3.48
Rb  0.7500  0.7500  0.0000  8 S 3.48
Pr  0.2500  0.2500  0.5000  8 S 2.97
Pr  0.7500  0.7500  0.5000  8 S 2.97
S  0.1281  0.6281  0.2966  1 S 2.11
S  0.1281  0.8719  0.7034  1 S 2.11
S  0.3719  0.6281  0.7034  1 S 2.11
S  0.3719  0.8719  0.2966  1 S 2.11
S  0.6281  0.1281  0.7034  1 S 2.11
S  0.6281  0.3719  0.2966  1 S 2.11
S  0.8719  0.1281  0.2966  1 S 2.11
S  0.8719  0.3719  0.7034  1 S 2.11

The density is 3755 kg/m3. Its crystal system is tetragonal. Its space-group type is P4/nbm. The value obtained for the total DFT energy (no corrections) is -4.91 eV per atom.

=====

Please write out number 7 again, unchanged.
Entry from OQMD: an optimized crystal structure of LiCuSnW (PBE-GGA).

abc: 4.4909 4.4909 4.4909
angles: 60.00 60.00 60.00
Last column: nearest neighbours and their distance in Å.
Element x y z (fractional)
Li  0.0000  0.0000  0.0000  4 W 2.75, 4 Cu 2.75
Cu  0.7500  0.7500  0.7500  4 Sn 2.75, 4 Li 2.75
Sn  0.5000  0.5000  0.5000  4 W 2.75, 4 Cu 2.75
W  0.2500  0.2500  0.2500  4 Sn 2.75, 4 Li 2.75

The density is 9672 kg/m3. Its crystal system is cubic. Its space-group type is F-43m. The value obtained for the total DFT energy (no corrections) is -5.07 eV per atom.

=====

> density of number 5 (GdDy2In3Pt2Au)?

11678 kg/m3

=====

> density of number 11 (SmZr2)?

7066 kg/m3